1.
# LiAcSn3, optimized geometry, DFT PBE
data_LiAcSn3
_cell_length_a 5.143
_cell_length_b 5.143
_cell_length_c 5.143
_cell_angle_alpha 90.00
_cell_angle_beta 90.00
_cell_angle_gamma 90.00
_symmetry_space_group_name_H-M 'P m -3 m'
_symmetry_Int_Tables_number 221
_symmetry_space_group_name_Hall '-P 4 2 3'
loop_
_atom_site_label
_atom_site_type_symbol
_atom_site_fract_x
_atom_site_fract_y
_atom_site_fract_z
Li1 Li 0.000 0.000 0.000
Ac1 Ac 0.500 0.500 0.500
Sn1 Sn 0.000 0.000 0.500
# electronic total energy = -3.91 eV/atom
# theoretical density = 7.202 g/cm³

---

2.
# LiAcSn3, optimized geometry, DFT PBE
data_LiAcSn3
_cell_length_a 5.105
_cell_length_b 5.105
_cell_length_c 10.562
_cell_angle_alpha 90.00
_cell_angle_beta 90.00
_cell_angle_gamma 90.00
_symmetry_space_group_name_H-M 'I 4 m m'
_symmetry_Int_Tables_number 107
_symmetry_space_group_name_Hall 'I 4 -2'
loop_
_atom_site_label
_atom_site_type_symbol
_atom_site_fract_x
_atom_site_fract_y
_atom_site_fract_z
Li1 Li 0.000 0.000 0.000
Ac1 Ac 0.000 0.000 0.349
Sn1 Sn 0.000 0.000 0.752
Sn2 Sn 0.000 0.500 0.100
# electronic total energy = -4.04 eV/atom
# theoretical density = 7.120 g/cm³

---

3.
# Li6AcSn12, optimized geometry, DFT PBE
data_Li6AcSn12
_cell_length_a 12.9467
_cell_length_b 12.9467
_cell_length_c 9.7839
_cell_angle_alpha 90.00
_cell_angle_beta 90.00
_cell_angle_gamma 120.00
_symmetry_space_group_name_H-M 'R -3 m'
_symmetry_Int_Tables_number 166
_symmetry_space_group_name_Hall '-R 3 2"'
loop_
_atom_site_label
_atom_site_type_symbol
_atom_site_fract_x
_atom_site_fract_y
_atom_site_fract_z
Li1 Li 0.0508 0.5254 0.2344
Ac1 Ac 0.0000 0.0000 0.0000
Sn1 Sn 0.0000 0.3864 0.5000
Sn2 Sn 0.0821 0.1643 0.3112
# electronic total energy = -3.54 eV/atom
# theoretical density = 5.939 g/cm³

---

4.
# Li6Ac3Sn5, optimized geometry, DFT PBE
data_Li6Ac3Sn5
_cell_length_a 4.822
_cell_length_b 10.126
_cell_length_c 14.344
_cell_angle_alpha 90.00
_cell_angle_beta 90.00
_cell_angle_gamma 90.00
_symmetry_space_group_name_H-M 'I m m m'
_symmetry_Int_Tables_number 71
_symmetry_space_group_name_Hall '-I 2 2'
loop_
_atom_site_label
_atom_site_type_symbol
_atom_site_fract_x
_atom_site_fract_y
_atom_site_fract_z
Li1 Li 0.000 0.188 0.000
Li2 Li 0.000 0.282 0.358
Ac1 Ac 0.000 0.000 0.202
Ac2 Ac 0.000 0.000 0.500
Sn1 Sn 0.000 0.356 0.156
Sn2 Sn 0.000 0.500 0.500
# electronic total energy = -3.68 eV/atom
# theoretical density = 6.241 g/cm³

---

5.
# Li2AcSn2, optimized geometry, DFT PBE
data_Li2AcSn2
_cell_length_a 4.722
_cell_length_b 4.713
_cell_length_c 11.096
_cell_angle_alpha 90.00
_cell_angle_beta 90.20
_cell_angle_gamma 90.00
_symmetry_space_group_name_H-M 'P 1 21/m 1'
_symmetry_Int_Tables_number 11
loop_
_symmetry_equiv_pos_as_xyz
'x,y,z'
'-x,-y,-z'
'-x,y+1/2,-z'
'x,-y+1/2,z'
loop_
_atom_site_label
_atom_site_type_symbol
_atom_site_fract_x
_atom_site_fract_y
_atom_site_fract_z
Li1 Li 0.238 0.250 0.135
Li2 Li 0.249 0.750 0.500
Ac1 Ac 0.253 0.250 0.743
Sn1 Sn 0.250 0.250 0.375
Sn2 Sn 0.263 0.750 0.000
# electronic total energy = -3.75 eV/atom
# theoretical density = 6.433 g/cm³

---

6.
# LiAc2Sn4, optimized geometry, DFT PBE
data_LiAc2Sn4
_cell_length_a 5.092
_cell_length_b 5.092
_cell_length_c 16.619
_cell_angle_alpha 90.00
_cell_angle_beta 90.00
_cell_angle_gamma 90.00
_symmetry_space_group_name_H-M 'I 4/m m m'
_symmetry_Int_Tables_number 139
_symmetry_space_group_name_Hall '-I 4 2'
loop_
_atom_site_label
_atom_site_type_symbol
_atom_site_fract_x
_atom_site_fract_y
_atom_site_fract_z
Li1 Li 0.000 0.000 0.000
Ac1 Ac 0.000 0.000 0.358
Sn1 Sn 0.000 0.000 0.157
Sn2 Sn 0.000 0.500 0.000
# electronic total energy = -4.14 eV/atom
# theoretical density = 7.212 g/cm³

---

7.
# LiAc8Sn2, optimized geometry, DFT PBE
data_LiAc8Sn2
_cell_length_a 20.825
_cell_length_b 5.574
_cell_length_c 7.635
_cell_angle_alpha 90.00
_cell_angle_beta 103.20
_cell_angle_gamma 90.00
_symmetry_space_group_name_H-M 'C 1 2/m 1'
_symmetry_Int_Tables_number 12
loop_
_symmetry_equiv_pos_as_xyz
'x,y,z'
'-x,-y,-z'
'-x,y,-z'
'x,-y,z'
'x+1/2,y+1/2,z'
'-x+1/2,-y+1/2,-z'
'-x+1/2,y+1/2,-z'
'x+1/2,-y+1/2,z'
loop_
_atom_site_label
_atom_site_type_symbol
_atom_site_fract_x
_atom_site_fract_y
_atom_site_fract_z
Li1 Li 0.000 0.000 0.000
Ac1 Ac 0.020 0.500 0.767
Ac2 Ac 0.093 0.000 0.480
Ac3 Ac 0.157 0.000 0.989
Ac4 Ac 0.208 0.500 0.323
Sn1 Sn 0.185 0.500 0.757
# electronic total energy = -4.09 eV/atom
# theoretical density = 7.929 g/cm³

---

8.
# Li2Ac3Sn7, optimized geometry, DFT PBE
data_Li2Ac3Sn7
_cell_length_a 4.726
_cell_length_b 4.830
_cell_length_c 14.922
_cell_angle_alpha 90.00
_cell_angle_beta 99.07
_cell_angle_gamma 90.00
_symmetry_space_group_name_H-M 'P 1 2/m 1'
_symmetry_Int_Tables_number 10
loop_
_symmetry_equiv_pos_as_xyz
'x,y,z'
'-x,-y,-z'
'-x,y,-z'
'x,-y,z'
loop_
_atom_site_label
_atom_site_type_symbol
_atom_site_fract_x
_atom_site_fract_y
_atom_site_fract_z
Li1 Li 0.131 0.000 0.263
Ac1 Ac 0.000 0.000 0.000
Ac2 Ac 0.318 0.500 0.635
Sn1 Sn 0.086 0.500 0.173
Sn2 Sn 0.221 0.000 0.442
Sn3 Sn 0.413 0.000 0.827
Sn4 Sn 0.500 0.500 0.000
# electronic total energy = -4.24 eV/atom
# theoretical density = 7.534 g/cm³

---

Repeat the second record exactly.
# LiAcSn3, optimized geometry, DFT PBE
data_LiAcSn3
_cell_length_a 5.105
_cell_length_b 5.105
_cell_length_c 10.562
_cell_angle_alpha 90.00
_cell_angle_beta 90.00
_cell_angle_gamma 90.00
_symmetry_space_group_name_H-M 'I 4 m m'
_symmetry_Int_Tables_number 107
_symmetry_space_group_name_Hall 'I 4 -2'
loop_
_atom_site_label
_atom_site_type_symbol
_atom_site_fract_x
_atom_site_fract_y
_atom_site_fract_z
Li1 Li 0.000 0.000 0.000
Ac1 Ac 0.000 0.000 0.349
Sn1 Sn 0.000 0.000 0.752
Sn2 Sn 0.000 0.500 0.100
# electronic total energy = -4.04 eV/atom
# theoretical density = 7.120 g/cm³